The following is a DFT calculation (PBE) of a relaxed Y2Tc2Br crystal.

Values from the calculation:
final energy: -6.70 eV/atom
relative energy among the computed polymorphs: 305 meV per atom
total magnetization: 0.0 μB/cell
E_form (uncorrected): 0.3671 eV/atom

POSCAR file:
```
Y2Tc2Br
1.0
-1.6864 -3.5290 -3.9351
5.1665 -1.9728 -0.4450
0.9502 -5.4398 0.5599
Y Br Tc
2 1 2
direct
0.2500 0.7500 0.5000
0.7500 0.2500 0.5000
0.0000 0.0000 0.0000
0.6475 0.6475 0.7050
0.3525 0.3525 0.2950
```

---

The following is a DFT calculation (PBE) of a relaxed KHgI2Cl crystal.

Values from the calculation:
final energy: -2.06 eV/atom
total magnetization: 0.0 μB/cell
E_form (uncorrected): -0.7873 eV/atom

POSCAR file:
```
KHgI2Cl
1.0
-3.8559 -4.5766 -0.5840
2.5377 -2.7395 4.7127
-3.4490 2.4846 3.3015
Cl I K Hg
1 2 1 1
direct
0.0000 0.0000 0.5000
0.0000 0.5000 0.0000
0.5000 0.0000 0.0000
0.5000 0.5000 0.5000
0.0000 0.0000 0.0000
```

---

The following is a DFT calculation (PBE) of a relaxed Nd2Dy3Cd4 crystal.

Values from the calculation:
ΔH_f (0 K): -167 meV/atom
final energy: -3.17 eV/atom
total magnetization: 0.0 μB/cell

POSCAR file:
```
Nd2Dy3Cd4
1.0
6.8367 0.0000 0.0000
0.0000 8.2460 0.0000
-3.4184 0.0000 9.2772
Nd Cd Dy
4 8 6
direct
0.5924 0.9002 0.1848
0.0924 0.5998 0.1848
0.9076 0.4002 0.8152
0.4076 0.0998 0.8152
0.3375 0.4864 0.6749
0.1750 0.7500 0.8500
0.8250 0.2500 0.1500
0.8375 0.0136 0.6749
0.3250 0.2500 0.1500
0.6625 0.5136 0.3251
0.6750 0.7500 0.8500
0.1625 0.9864 0.3251
0.0000 0.0000 0.0000
0.0038 0.7500 0.5076
0.5038 0.7500 0.5076
0.9962 0.2500 0.4924
0.5000 0.5000 0.0000
0.4962 0.2500 0.4924
```

---

The following is a DFT calculation (PBE) of a relaxed HoHfTe crystal.

Values from the calculation:
final energy: -6.39 eV/atom
total magnetization: 0.0 μB/cell
E_form (uncorrected): -0.4954 eV/atom

POSCAR file:
```
HoHfTe
1.0
-0.9938 -1.4201 -3.2544
0.6792 -2.2318 2.8553
-13.0082 0.7209 3.6576
Hf Te Ho
2 2 2
direct
0.2776 0.5552 0.5000
0.6113 0.2227 0.0000
0.6110 0.2220 0.6436
0.6110 0.2220 0.3564
0.2778 0.5556 0.1870
0.2778 0.5556 0.8130
```

---

The following is a DFT calculation (PBE) of a relaxed TlCd2Au crystal.

Values from the calculation:
ΔH_f (0 K): 21 meV/atom
final energy: -1.85 eV/atom
relative energy among the computed polymorphs: 113 meV per atom
total magnetization: 0.0 μB/cell

POSCAR file:
```
TlCd2Au
1.0
5.4898 -0.0563 0.0000
1.8099 5.1832 0.0000
-3.6499 -2.5634 3.2013
Tl Au Cd
1 1 2
direct
0.5000 0.5000 0.0000
0.7500 0.2500 0.5000
0.2500 0.7500 0.5000
0.0000 0.0000 0.0000
```

---

The following is a DFT calculation (PBE) of a relaxed Nd2SeCl crystal.

Values from the calculation:
final energy: -5.25 eV/atom
relative energy among the computed polymorphs: 26 meV per atom
total magnetization: 0.0 μB/cell
E_form (uncorrected): -1.5382 eV/atom

POSCAR file:
```
Nd2SeCl
1.0
-2.9242 -1.5575 -2.1642
0.8311 -2.5745 -2.8883
-1.3114 -7.2367 3.3619
Cl Nd Se
1 2 1
direct
0.5004 0.5004 0.4988
0.0776 0.0776 0.7673
0.2562 0.2562 0.2315
0.6659 0.6659 0.0024
```

---

What is the total magnetization in the second record? 0.0 μB/cell